! La2Sc2Sb | Alexandria via LeMat-Bulk | PBE-GGA | relaxed; values from VASP
! **Symmetry**: I4/mmm (139)
! **Total energy**: -5.455 eV per atom
! **Calculated volume**: 160.0 Å³/f.u.
&SYSTEM
  ibrav = 0, nat = 5, ntyp = 3
/
ATOMIC_SPECIES
Sc 44.96 Sc.upf
Sb 121.76 Sb.upf
La 138.91 La.upf
CELL_PARAMETERS angstrom
-6.1528 -0.7562 7.9628
-4.3540 4.7043 7.7941
3.0124 -1.2874 -9.5448
ATOMIC_POSITIONS crystal
Sc 0.2500 0.7500 0.5000
Sc 0.7500 0.2500 0.5000
Sb 0.0000 0.0000 0.0000
La 0.4094 0.4094 0.0000
La 0.5906 0.5906 0.0000

=====

! TiVNi2H | Alexandria via LeMat-Bulk | PBE-GGA | relaxed; values from VASP
! **Symmetry**: P4/mmm (123)
! **Total energy**: -6.563 eV per atom
! **Calculated volume**: 52.3 Å³/f.u.
&SYSTEM
  ibrav = 0, nat = 5, ntyp = 4
/
ATOMIC_SPECIES
H 1.01 H.upf
Ti 47.87 Ti.upf
V 50.94 V.upf
Ni 58.69 Ni.upf
CELL_PARAMETERS angstrom
-2.9034 -1.1682 1.8257
2.1646 -1.7185 2.3428
0.1217 3.2663 2.2835
ATOMIC_POSITIONS crystal
H 0.0000 0.0000 0.0000
Ti 0.0000 0.0000 0.5000
V 0.5000 0.5000 0.5000
Ni 0.0000 0.5000 0.0000
Ni 0.5000 0.0000 0.0000

=====

no.,energy above the most stable polymorph in this dataset (eV/atom)
1,0.1973
2,0.0093